[1]
Entry from Alexandria via LeMat-Bulk: crystalline RuC2 at its relaxed geometry (PBE-GGA).

a b c (Å): 3.014 3.014 5.957
angles (deg): 90.00 90.00 90.00
Sites, in units of the cell vectors:
Ru 0.250 0.250 0.240
Ru 0.750 0.750 0.760
C 0.250 0.250 0.612
C 0.250 0.750 0.000
C 0.750 0.250 0.000
C 0.750 0.750 0.388

Computed properties:
The energy above the most stable polymorph in this dataset comes out at 1140 meV/atom. As for the calculated formation energy: 1724 meV/atom. Its density of states at the Fermi level is 0.300 states/eV per atom. Its space-group type is P4/nmm, No. 129.

***

[2]
Entry from Alexandria via LeMat-Bulk: crystalline Ru3C4 at its relaxed geometry (PBE-GGA).

a b c (Å): 7.723 7.723 7.723
angles (deg): 157.26 157.26 32.37
Sites, in units of the cell vectors:
Ru 0.000 0.000 0.000
Ru 0.315 0.315 0.000
Ru 0.685 0.685 0.000
C 0.165 0.165 0.000
C 0.454 0.454 0.000
C 0.546 0.546 0.000
C 0.835 0.835 0.000

Computed properties:
The energy above the most stable polymorph in this dataset comes out at 156 meV/atom. As for the calculated formation energy: 1199 meV/atom. Its density of states at the Fermi level is 0.884 states/eV per atom. Its space-group type is I4/mmm, No. 139.

***

[3]
Entry from Alexandria via LeMat-Bulk: crystalline RuC4 at its relaxed geometry (PBE-GGA).

a b c (Å): 4.430 4.430 4.430
angles (deg): 106.92 106.92 114.71
Sites, in units of the cell vectors:
Ru 0.000 0.000 0.000
C 0.000 0.376 0.376
C 0.000 0.624 0.624
C 0.376 0.000 0.376
C 0.624 0.000 0.624

Computed properties:
The energy above the most stable polymorph in this dataset comes out at 1093 meV/atom. As for the calculated formation energy: 1818 meV/atom. Its density of states at the Fermi level is 0.528 states/eV per atom. Its space-group type is I4/mmm, No. 139.

***

[4]
Entry from Alexandria via LeMat-Bulk: crystalline Ru4C3 at its relaxed geometry (PBE-GGA).

a b c (Å): 4.472 4.472 4.472
angles (deg): 90.00 90.00 90.00
Sites, in units of the cell vectors:
Ru 0.248 0.248 0.752
Ru 0.248 0.752 0.248
Ru 0.752 0.248 0.248
Ru 0.752 0.752 0.752
C 0.000 0.500 0.500
C 0.500 0.000 0.500
C 0.500 0.500 0.000

Computed properties:
The energy above the most stable polymorph in this dataset comes out at 0 meV/atom. As for the calculated formation energy: 682 meV/atom. Its density of states at the Fermi level is 1.264 states/eV per atom. Its space-group type is P-43m, No. 215.

***

[5]
Entry from Alexandria via LeMat-Bulk: crystalline Ru2C at its relaxed geometry (PBE-GGA).

a b c (Å): 4.443 4.443 4.443
angles (deg): 109.41 109.41 109.59
Sites, in units of the cell vectors:
Ru 0.190 0.690 0.880
Ru 0.310 0.190 0.500
Ru 0.690 0.810 0.500
Ru 0.810 0.310 0.120
C 0.250 0.250 0.000
C 0.750 0.750 0.000

Computed properties:
The energy above the most stable polymorph in this dataset comes out at 501 meV/atom. As for the calculated formation energy: 810 meV/atom. Its density of states at the Fermi level is 1.050 states/eV per atom. Its space-group type is I4/mcm, No. 140.

***

[6]
Entry from Alexandria via LeMat-Bulk: crystalline Ru2C at its relaxed geometry (PBE-GGA).

a b c (Å): 3.825 3.825 4.843
angles (deg): 90.00 90.00 90.00
Sites, in units of the cell vectors:
Ru 0.250 0.250 0.079
Ru 0.250 0.750 0.500
Ru 0.750 0.250 0.500
Ru 0.750 0.750 0.921
C 0.250 0.250 0.679
C 0.750 0.750 0.321

Computed properties:
The energy above the most stable polymorph in this dataset comes out at 207 meV/atom. As for the calculated formation energy: 516 meV/atom. Its density of states at the Fermi level is 0.950 states/eV per atom. Its space-group type is P4/nmm, No. 129.

***

[7]
Entry from Alexandria via LeMat-Bulk: crystalline Ru7C at its relaxed geometry (PBE-GGA).

a b c (Å): 5.338 5.338 5.338
angles (deg): 60.00 60.00 60.00
Sites, in units of the cell vectors:
Ru 0.000 0.000 0.000
Ru 0.000 0.000 0.500
Ru 0.000 0.500 0.000
Ru 0.000 0.500 0.500
Ru 0.500 0.000 0.000
Ru 0.500 0.000 0.500
Ru 0.500 0.500 0.000
C 0.500 0.500 0.500

Computed properties:
As for the calculated formation energy: 838 meV/atom. Its density of states at the Fermi level is 1.842 states/eV per atom. Its space-group type is Fm-3m, No. 225.

***

[8]
Entry from Alexandria via LeMat-Bulk: crystalline Ru3C at its relaxed geometry (PBE-GGA).

a b c (Å): 5.442 5.442 3.805
angles (deg): 90.00 90.00 90.90
Sites, in units of the cell vectors:
Ru 0.113 0.887 0.750
Ru 0.132 0.379 0.750
Ru 0.379 0.132 0.250
Ru 0.621 0.868 0.750
Ru 0.868 0.621 0.250
Ru 0.887 0.113 0.250
C 0.375 0.625 0.750
C 0.625 0.375 0.250

Computed properties:
The energy above the most stable polymorph in this dataset comes out at 386 meV/atom. As for the calculated formation energy: 712 meV/atom. Its density of states at the Fermi level is 1.039 states/eV per atom. Its space-group type is Cmcm, No. 63.

***

[9]
Entry from Alexandria via LeMat-Bulk: crystalline Ru2C at its relaxed geometry (PBE-GGA).

a b c (Å): 4.977 4.977 2.880
angles (deg): 90.00 90.00 90.00
Sites, in units of the cell vectors:
Ru 0.212 0.212 0.000
Ru 0.288 0.712 0.500
Ru 0.712 0.288 0.500
Ru 0.788 0.788 0.000
C 0.000 0.000 0.500
C 0.500 0.500 0.000

Computed properties:
The energy above the most stable polymorph in this dataset comes out at 79 meV/atom. As for the calculated formation energy: 388 meV/atom. Its density of states at the Fermi level is 1.099 states/eV per atom. Its space-group type is P4_2/mnm, No. 136.

***

[10]
Entry from Alexandria via LeMat-Bulk: crystalline RuC2 at its relaxed geometry (PBE-GGA).

a b c (Å): 3.803 3.803 5.678
angles (deg): 96.01 96.01 43.43
Sites, in units of the cell vectors:
Ru 0.231 0.231 0.267
Ru 0.769 0.769 0.733
C 0.069 0.069 0.597
C 0.400 0.400 0.983
C 0.600 0.600 0.017
C 0.931 0.931 0.403

Computed properties:
The energy above the most stable polymorph in this dataset comes out at 281 meV/atom. As for the calculated formation energy: 866 meV/atom. Its density of states at the Fermi level is 0.306 states/eV per atom. Its space-group type is C2/m, No. 12.

***

[11]
Entry from Alexandria via LeMat-Bulk: crystalline RuC4 at its relaxed geometry (PBE-GGA).

a b c (Å): 4.071 4.071 4.071
angles (deg): 109.47 109.47 109.47
Sites, in units of the cell vectors:
Ru 0.000 0.000 0.000
C 0.000 0.000 0.500
C 0.000 0.500 0.000
C 0.500 0.000 0.000
C 0.500 0.500 0.500

Computed properties:
The energy above the most stable polymorph in this dataset comes out at 2308 meV/atom. As for the calculated formation energy: 3033 meV/atom. Its density of states at the Fermi level is 0.939 states/eV per atom. Its space-group type is Im-3m, No. 229.

***

[12]
Entry from Alexandria via LeMat-Bulk: crystalline RuC2 at its relaxed geometry (PBE-GGA).

a b c (Å): 5.144 5.144 5.144
angles (deg): 28.74 28.74 28.74
Sites, in units of the cell vectors:
Ru 0.000 0.000 0.000
C 0.159 0.159 0.159
C 0.841 0.841 0.841

Computed properties:
The energy above the most stable polymorph in this dataset comes out at 116 meV/atom. As for the calculated formation energy: 700 meV/atom. Its density of states at the Fermi level is 0.655 states/eV per atom. Its space-group type is R-3m, No. 166.